VASP calculation (PBE-GGA) on an optimized crystal structure of Cs2LiHg.

abc: 4.9113 6.7025 6.7025
angles: 90.00 90.00 90.00
Closest atoms and distances in Å follow each position.
Element x y z (fractional)
Cs: 0.0000 0.0000 0.5000  4 Li 4.15, 4 Hg 4.15
Cs: 0.0000 0.5000 0.0000  4 Li 4.15, 4 Hg 4.15
Hg: 0.5000 0.0000 0.0000  8 Cs 4.15
Li: 0.5000 0.5000 0.5000  8 Cs 4.15

Symmetry ... No. 123
Offset from the most stable computed form ... 0.0003 eV/atom
Total DFT energy (no corrections) ... -3.87 eV per cell
Energy of formation ... 0.012 eV per atom

VASP calculation (PBE-GGA) on an optimized crystal structure of MgScSnCl2.

abc: 4.5822 6.7331 4.5822
angles: 90.00 90.00 90.00
Closest atoms and distances in Å follow each position.
Element x y z (fractional)
Cl: 0.0000 0.0000 0.5000  2 Mg 2.29
Cl: 0.5000 0.0000 0.0000  2 Mg 2.29
Sc: 0.5000 0.5000 0.5000  4 Sn 3.24
Mg: 0.0000 0.0000 0.0000  4 Cl 2.29
Sn: 0.0000 0.5000 0.0000  4 Sc 3.24, 2 Mg 3.37

Symmetry ... No. 123
Formation energy from raw total energies ... -611.8 meV per atom
Total DFT energy (no corrections) ... -18.68 eV per cell

VASP calculation (PBE-GGA) on an optimized crystal structure of Hg3Pd5.

abc: 4.3341 5.7006 5.7006
angles: 99.13 90.00 90.00
Closest atoms and distances in Å follow each position.
Element x y z (fractional)
Pd: 0.5000 0.2611 0.2611  6 Hg 2.79-2.92, 6 Pd 2.90-3.07
Pd: 0.5000 0.7389 0.7389  6 Hg 2.79-2.92, 6 Pd 2.90-3.07
Pd: 0.0000 0.0000 0.5000  6 Pd 2.85-3.07, 6 Hg 2.85
Pd: 0.0000 0.0000 0.0000  8 Pd 2.85-2.90, 4 Hg 2.96
Pd: 0.0000 0.5000 0.0000  6 Hg 2.85, 6 Pd 2.85-3.07
Hg: 0.5000 0.2323 0.7677  10 Pd 2.79-2.96
Hg: 0.5000 0.7677 0.2323  10 Pd 2.79-2.96
Hg: 0.0000 0.5000 0.5000  8 Pd 2.80-2.85

Symmetry ... No. 65
Total DFT energy (no corrections) ... -28.12 eV per cell
Energy of formation ... -0.156 eV per atom